1.
DFT (GGA-PBE) results for a geometry-optimized CsZrBi structure.

Summary:
symmetry: F-43m
raw total energy: -11.68 eV/cell
magnetization: 1.99 μB per cell

Cell: 5.347 5.347 5.347 Å, 60.00 60.00 60.00°
Sites, in units of the cell vectors:
Bi (0.250, 0.250, 0.250)
Cs (0.750, 0.750, 0.750)
Zr (0.000, 0.000, 0.000)

2.
DFT (GGA-PBE) results for a geometry-optimized KAgPdS3 structure.

Summary:
symmetry: Pnma
polymorph energy (0 for the lowest one): 0.00 eV/f.u.
raw total energy: -95.05 eV/cell

Cell: 13.759 3.799 10.094 Å, 90.00 90.00 90.00°
Sites, in units of the cell vectors:
Ag (0.304, 0.750, 0.227)
Ag (0.804, 0.750, 0.273)
Ag (0.196, 0.250, 0.727)
Ag (0.696, 0.250, 0.773)
K (0.863, 0.250, 0.013)
K (0.363, 0.250, 0.487)
K (0.637, 0.750, 0.513)
K (0.137, 0.750, 0.987)
Pd (0.544, 0.250, 0.140)
Pd (0.044, 0.250, 0.360)
Pd (0.956, 0.750, 0.640)
Pd (0.456, 0.750, 0.860)
S (0.597, 0.750, 0.003)
S (0.189, 0.250, 0.226)
S (0.978, 0.750, 0.233)
S (0.478, 0.750, 0.267)
S (0.689, 0.250, 0.274)
S (0.097, 0.750, 0.497)
S (0.903, 0.250, 0.503)
S (0.311, 0.750, 0.726)
S (0.522, 0.250, 0.733)
S (0.022, 0.250, 0.767)
S (0.811, 0.750, 0.774)
S (0.403, 0.250, 0.997)

no.,volume (Å³/f.u.),calculated density (g/cm3)
1,108.1,6.7
2,131.9,4.4